# 1
# ZrNb2Pb, relaxed, DFT PBE-GGA
data_ZrNb2Pb
_chemical_formula_sum 'Zr2 Nb4 Pb2'
_symmetry_space_group_name_H-M 'P m m a'
_symmetry_Int_Tables_number 51
_cell_length_a 4.8589
_cell_length_b 3.5525
_cell_length_c 9.6308
_cell_angle_alpha 90.00
_cell_angle_beta 90.00
_cell_angle_gamma 90.00
loop_
_symmetry_equiv_pos_as_xyz
'x,y,z'
'-x,-y,-z'
'-x+1/2,-y,z'
'x+1/2,y,-z'
'x+1/2,-y,-z'
'-x+1/2,y,z'
'-x,y,-z'
'x,-y,z'
loop_
_atom_site_label
_atom_site_type_symbol
_atom_site_fract_x
_atom_site_fract_y
_atom_site_fract_z
_atom_site_occupancy
Zr1 Zr 0.2500 0.0000 0.1225 1
Nb1 Nb 0.2500 0.0000 0.5962 1
Nb2 Nb 0.2500 0.5000 0.3732 1
Pb1 Pb 0.2500 0.5000 0.8446 1
# Formation energy from the elements (eV/atom): -0.0664
# Uncorrected energy (eV for the cell shown): -65.32


# 2
# Li6Mg5Al, relaxed, DFT PBE-GGA
data_Li6Mg5Al
_chemical_formula_sum 'Li12 Mg10 Al2'
_symmetry_space_group_name_H-M 'C m m m'
_symmetry_Int_Tables_number 65
_symmetry_space_group_name_Hall '-C 2 2'
_cell_length_a 4.7434
_cell_length_b 14.2568
_cell_length_c 6.7808
_cell_angle_alpha 90.00
_cell_angle_beta 90.00
_cell_angle_gamma 90.00
loop_
_atom_site_label
_atom_site_type_symbol
_atom_site_fract_x
_atom_site_fract_y
_atom_site_fract_z
_atom_site_occupancy
Li1 Li 0.0000 0.0000 0.2381 1
Li2 Li 0.0000 0.3382 0.2378 1
Mg1 Mg 0.0000 0.1635 0.0000 1
Mg2 Mg 0.0000 0.1704 0.5000 1
Mg3 Mg 0.0000 0.5000 0.5000 1
Al1 Al 0.0000 0.5000 0.0000 1
# Formation energy from the elements (eV/atom): -0.0723
# Uncorrected energy (eV for the cell shown): -48.13


# 3
# MgTe3, relaxed, DFT PBE-GGA
data_MgTe3
_chemical_formula_sum 'Mg2 Te6'
_symmetry_space_group_name_H-M 'P m m n'
_symmetry_Int_Tables_number 59
_cell_length_a 4.5237
_cell_length_b 6.0247
_cell_length_c 9.0393
_cell_angle_alpha 90.00
_cell_angle_beta 90.00
_cell_angle_gamma 90.00
loop_
_symmetry_equiv_pos_as_xyz
'x,y,z'
'-x,-y,-z'
'-x+1/2,-y+1/2,z'
'x+1/2,y+1/2,-z'
'x+1/2,-y,-z'
'-x+1/2,y,z'
'-x,y+1/2,-z'
'x,-y+1/2,z'
loop_
_atom_site_label
_atom_site_type_symbol
_atom_site_fract_x
_atom_site_fract_y
_atom_site_fract_z
_atom_site_occupancy
Mg1 Mg 0.2500 0.2500 0.1112 1
Te1 Te 0.2500 0.5124 0.6243 1
Te2 Te 0.2500 0.7500 0.0846 1
# Formation energy without anion corrections (meV/atom): -151
# Uncorrected energy (eV for the cell shown): -23.25


# 4
# RbGaGe, relaxed, DFT PBE-GGA
data_RbGaGe
_chemical_formula_sum 'Rb4 Ga4 Ge4'
_symmetry_space_group_name_H-M 'P 1 21/c 1'
_symmetry_Int_Tables_number 14
_cell_length_a 6.9342
_cell_length_b 8.3802
_cell_length_c 8.3917
_cell_angle_alpha 90.00
_cell_angle_beta 125.19
_cell_angle_gamma 90.00
loop_
_symmetry_equiv_pos_as_xyz
'x,y,z'
'-x,-y,-z'
'-x,y+1/2,-z+1/2'
'x,-y+1/2,z+1/2'
loop_
_atom_site_label
_atom_site_type_symbol
_atom_site_fract_x
_atom_site_fract_y
_atom_site_fract_z
_atom_site_occupancy
Rb1 Rb 0.1184 0.0051 0.3159 1
Ga1 Ga 0.4876 0.1447 0.1384 1
Ge1 Ge 0.4524 0.6524 0.6279 1
# Formation energy from the elements (eV/atom): -0.1115
# Uncorrected energy (eV for the cell shown): -35.79